[1]
DFT (PBE) results for a relaxed structure of TiSnTe4.

Structure (CIF):
```
data_TiSnTe4
_chemical_formula_sum 'Ti1 Sn1 Te4'
_space_group_name_H-M_alt 'P 1 2/m 1'
_space_group_IT_number 10
_cell_length_a 7.100
_cell_length_b 3.907
_cell_length_c 7.378
_cell_angle_alpha 90.00
_cell_angle_beta 113.13
_cell_angle_gamma 90.00
loop_
_space_group_symop_operation_xyz
'x,y,z'
'-x,-y,-z'
'-x,y,-z'
'x,-y,z'
loop_
_atom_site_label
_atom_site_fract_x
_atom_site_fract_y
_atom_site_fract_z
Ti1 0.000 0.000 0.000
Sn1 0.000 0.500 0.500
Te1 0.251 0.500 0.248
Te2 0.263 0.000 0.804
```

Results
magnetization = 0.00 μB per formula unit
density = 5.973 g cm⁻³
raw formation energy = -36.1 kJ per mole of atoms

***

[2]
DFT (PBE) results for a relaxed structure of KPuCd2O6.

Structure (CIF):
```
data_KPuCd2O6
_chemical_formula_sum 'K1 Pu1 Cd2 O6'
_space_group_name_H-M_alt 'P 1'
_space_group_IT_number 1
_cell_length_a 5.861
_cell_length_b 5.865
_cell_length_c 6.296
_cell_angle_alpha 90.04
_cell_angle_beta 117.69
_cell_angle_gamma 119.96
loop_
_space_group_symop_operation_xyz
'x,y,z'
loop_
_atom_site_label
_atom_site_fract_x
_atom_site_fract_y
_atom_site_fract_z
K1 0.000 0.000 0.000
Pu1 0.957 0.479 0.435
Cd1 0.547 0.273 0.820
Cd2 0.585 0.793 0.377
O1 0.083 0.436 0.198
O2 0.099 0.253 0.639
O3 0.387 0.847 0.639
O4 0.551 0.115 0.198
O5 0.762 0.648 0.198
O6 0.794 0.541 0.640
```

Results
magnetization = 1.00 μB per formula unit
density = 6.340 g cm⁻³
raw formation energy = -163.9 kJ per mole of atoms

***

[3]
DFT (PBE) results for a relaxed structure of Pm2ZrSn.

Structure (CIF):
```
data_Pm2ZrSn
_chemical_formula_sum 'Pm2 Zr1 Sn1'
_space_group_name_H-M_alt 'P 4/m m m'
_space_group_IT_number 123
_space_group_name_Hall '-P 4 2'
_cell_length_a 4.745
_cell_length_b 4.745
_cell_length_c 4.789
_cell_angle_alpha 90.00
_cell_angle_beta 90.00
_cell_angle_gamma 90.00
loop_
_atom_site_label
_atom_site_fract_x
_atom_site_fract_y
_atom_site_fract_z
Pm1 0.000 0.500 0.000
Zr1 0.000 0.000 0.500
Sn1 0.500 0.500 0.500
```

Results
magnetization = 0.00 μB per formula unit
energy of formation = -0.318 eV/atom
energy relative to the lowest polymorph listed for this composition = 0 meV/atom
density = 7.699 g cm⁻³

***

[4]
DFT (PBE) results for a relaxed structure of MgPtW2.

Structure (CIF):
```
data_MgPtW2
_chemical_formula_sum 'Mg1 Pt1 W2'
_space_group_name_H-M_alt 'P 4/m m m'
_space_group_IT_number 123
_space_group_name_Hall '-P 4 2'
_cell_length_a 4.876
_cell_length_b 4.876
_cell_length_c 2.744
_cell_angle_alpha 90.00
_cell_angle_beta 90.00
_cell_angle_gamma 90.00
loop_
_atom_site_label
_atom_site_fract_x
_atom_site_fract_y
_atom_site_fract_z
Mg1 0.000 0.000 0.000
Pt1 0.500 0.500 0.000
W1 0.000 0.500 0.500
```

Results
magnetization = 0.00 μB per formula unit
energy of formation = 0.497 eV/atom
density = 14.944 g cm⁻³

***

[5]
DFT (PBE) results for a relaxed structure of BaMn2In.

Structure (CIF):
```
data_BaMn2In
_chemical_formula_sum 'Ba1 Mn2 In1'
_space_group_name_H-M_alt 'P 4/m m m'
_space_group_IT_number 123
_space_group_name_Hall '-P 4 2'
_cell_length_a 5.112
_cell_length_b 5.112
_cell_length_c 3.831
_cell_angle_alpha 90.00
_cell_angle_beta 90.00
_cell_angle_gamma 90.00
loop_
_atom_site_label
_atom_site_fract_x
_atom_site_fract_y
_atom_site_fract_z
Ba1 0.000 0.000 0.000
Mn1 0.000 0.500 0.500
In1 0.500 0.500 0.000
```

Results
magnetization = 7.68 μB per formula unit
energy of formation = 0.640 eV/atom
density = 6.005 g cm⁻³

***

[6]
DFT (PBE) results for a relaxed structure of Sm2ScO.

Structure (CIF):
```
data_Sm2ScO
_chemical_formula_sum 'Sm6 Sc3 O3'
_space_group_name_H-M_alt 'R -3 m'
_space_group_IT_number 166
_space_group_name_Hall '-R 3 2"'
_cell_length_a 3.5190
_cell_length_b 3.5190
_cell_length_c 26.8320
_cell_angle_alpha 90.00
_cell_angle_beta 90.00
_cell_angle_gamma 120.00
loop_
_atom_site_label
_atom_site_fract_x
_atom_site_fract_y
_atom_site_fract_z
Sm1 0.0000 0.0000 0.1158
Sc1 0.0000 0.0000 0.0000
O1 0.0000 0.0000 0.5000
```

Results
magnetization = 0.00 μB per formula unit
energy relative to the lowest polymorph listed for this composition = 0 meV/atom
density = 6.262 g cm⁻³
raw formation energy = -106.6 kJ per mole of atoms

***

[7]
DFT (PBE) results for a relaxed structure of SrLiSe2.

Structure (CIF):
```
data_SrLiSe2
_chemical_formula_sum 'Sr2 Li2 Se4'
_space_group_name_H-M_alt 'C 1 2/m 1'
_space_group_IT_number 12
_cell_length_a 6.507
_cell_length_b 7.630
_cell_length_c 3.887
_cell_angle_alpha 90.00
_cell_angle_beta 90.20
_cell_angle_gamma 90.00
loop_
_space_group_symop_operation_xyz
'x,y,z'
'-x,-y,-z'
'-x,y,-z'
'x,-y,z'
'x+1/2,y+1/2,z'
'-x+1/2,-y+1/2,-z'
'-x+1/2,y+1/2,-z'
'x+1/2,-y+1/2,z'
loop_
_atom_site_label
_atom_site_fract_x
_atom_site_fract_y
_atom_site_fract_z
Sr1 0.000 0.000 0.000
Li1 0.000 0.500 0.000
Se1 0.250 0.250 0.500
```

Results
magnetization = 0.00 μB per formula unit
density = 4.346 g cm⁻³
raw formation energy = -117.1 kJ per mole of atoms

***

[8]
DFT (PBE) results for a relaxed structure of HoCuAu.

Structure (CIF):
```
data_HoCuAu
_chemical_formula_sum 'Ho2 Cu2 Au2'
_space_group_name_H-M_alt 'I 4 m m'
_space_group_IT_number 107
_space_group_name_Hall 'I 4 -2'
_cell_length_a 3.627
_cell_length_b 3.627
_cell_length_c 8.861
_cell_angle_alpha 90.00
_cell_angle_beta 90.00
_cell_angle_gamma 90.00
loop_
_atom_site_label
_atom_site_fract_x
_atom_site_fract_y
_atom_site_fract_z
Ho1 0.000 0.000 0.000
Cu1 0.000 0.000 0.670
Au1 0.000 0.000 0.331
```

Results
magnetization = 0.00 μB per formula unit
energy of formation = -0.549 eV/atom
energy relative to the lowest polymorph listed for this composition = 15 meV/atom
density = 12.119 g cm⁻³

***

[9]
DFT (PBE) results for a relaxed structure of Sm4TmSn2.

Structure (CIF):
```
data_Sm4TmSn2
_chemical_formula_sum 'Sm12 Tm3 Sn6'
_space_group_name_H-M_alt 'R -3 m'
_space_group_IT_number 166
_space_group_name_Hall '-R 3 2"'
_cell_length_a 5.4242
_cell_length_b 5.4242
_cell_length_c 27.8794
_cell_angle_alpha 90.00
_cell_angle_beta 90.00
_cell_angle_gamma 120.00
loop_
_atom_site_label
_atom_site_fract_x
_atom_site_fract_y
_atom_site_fract_z
Sm1 0.0000 0.0000 0.1245
Sm2 0.0000 0.0000 0.2803
Tm1 0.0000 0.0000 0.5000
Sn1 0.0000 0.0000 0.3933
```

Results
magnetization = 0.00 μB per formula unit
energy of formation = -0.249 eV/atom
density = 7.067 g cm⁻³

***

[10]
DFT (PBE) results for a relaxed structure of K2SiNi.

Structure (CIF):
```
data_K2SiNi
_chemical_formula_sum 'K4 Si2 Ni2'
_space_group_name_H-M_alt 'I -4 m 2'
_space_group_IT_number 119
_space_group_name_Hall 'I -4 -2'
_cell_length_a 5.136
_cell_length_b 5.136
_cell_length_c 7.244
_cell_angle_alpha 90.00
_cell_angle_beta 90.00
_cell_angle_gamma 90.00
loop_
_atom_site_label
_atom_site_fract_x
_atom_site_fract_y
_atom_site_fract_z
K1 0.000 0.000 0.000
K2 0.000 0.500 0.250
Si1 0.000 0.000 0.500
Ni1 0.000 0.500 0.750
```

Results
magnetization = 1.04 μB per formula unit
density = 2.868 g cm⁻³
raw formation energy = 67.5 kJ per mole of atoms

***

Q: What is the magnetization in the second record?
A: 1.00 μB per formula unit

***

What did the fourth record say?
DFT (PBE) results for a relaxed structure of MgPtW2.

Structure (CIF):
```
data_MgPtW2
_chemical_formula_sum 'Mg1 Pt1 W2'
_space_group_name_H-M_alt 'P 4/m m m'
_space_group_IT_number 123
_space_group_name_Hall '-P 4 2'
_cell_length_a 4.876
_cell_length_b 4.876
_cell_length_c 2.744
_cell_angle_alpha 90.00
_cell_angle_beta 90.00
_cell_angle_gamma 90.00
loop_
_atom_site_label
_atom_site_fract_x
_atom_site_fract_y
_atom_site_fract_z
Mg1 0.000 0.000 0.000
Pt1 0.500 0.500 0.000
W1 0.000 0.500 0.500
```

Results
magnetization = 0.00 μB per formula unit
energy of formation = 0.497 eV/atom
density = 14.944 g cm⁻³